[1]
A geometry-optimized KRb2Ag structure, computed with PBE.

## Properties
D(E_F)   0.601 states/eV per atom
Energy of formation from the pure elements   0.0515 eV/atom

Unit cell a=4.4594 b=4.4594 c=11.7502 alpha=90.00 beta=90.00 gamma=90.00
With the nearest neighbours (Å) after each atom.
Space group P4/mmm (No. 123)
Unique sites:
K  0.0000  0.0000  0.0000 x1  4 K 4.46, 8 Rb 4.96
Rb  0.5000  0.5000  0.3253 x2  4 Ag 3.76, 1 Rb 4.10
Ag  0.0000  0.0000  0.5000 x1  8 Rb 3.76


[2]
A geometry-optimized SmThSn structure, computed with PBE.

## Properties
D(E_F)   1.258 states/eV per atom
Energy of formation from the pure elements   -0.5298 eV/atom
E above lowest polymorph   0.000 eV per atom

Unit cell a=4.5956 b=4.5956 c=17.7132 alpha=90.00 beta=90.00 gamma=90.00
With the nearest neighbours (Å) after each atom.
Space group I4/mmm (No. 139)
Unique sites:
Sm  0.0000  0.0000  0.1760 x4  5 Sn 3.25-3.31
Th  0.0000  0.5000  0.0000 x4  4 Th 3.25, 4 Sn 3.39
Sn  0.0000  0.0000  0.3592 x4  5 Sm 3.25-3.31, 4 Th 3.39


[3]
A geometry-optimized SrFePb3 structure, computed with PBE.

## Properties
D(E_F)   5.685 states/eV per atom
Energy of formation from the pure elements   1.4160 eV/atom
E above lowest polymorph   1.294 eV per atom

Unit cell a=6.0685 b=6.0685 c=6.0685 alpha=90.00 beta=90.00 gamma=90.00
With the nearest neighbours (Å) after each atom.
Space group Pm-3m (No. 221)
Unique sites:
Sr  0.0000  0.0000  0.0000 x1  6 Pb 3.03
Fe  0.5000  0.5000  0.5000 x1  12 Pb 4.29
Pb  0.0000  0.0000  0.5000 x3  2 Sr 3.03


[4]
A geometry-optimized AcGd2Y structure, computed with PBE.

## Properties
D(E_F)   1.871 states/eV per atom
Energy of formation from the pure elements   0.0507 eV/atom
E above lowest polymorph   0.008 eV per atom

Unit cell a=3.7184 b=3.7184 c=10.2681 alpha=90.00 beta=90.00 gamma=90.00
With the nearest neighbours (Å) after each atom.
Space group P4/mmm (No. 123)
Unique sites:
Ac  0.0000  0.0000  0.0000 x1  4 Ac 3.72, 8 Gd 3.77
Gd  0.5000  0.5000  0.2632 x2  4 Y 3.58, 4 Gd 3.72, 4 Ac 3.77
Y  0.0000  0.0000  0.5000 x1  8 Gd 3.58, 4 Y 3.72


[5]
A geometry-optimized NbTl2Os2 structure, computed with PBE.

## Properties
D(E_F)   0.971 states/eV per atom
Energy of formation from the pure elements   1.1154 eV/atom
E above lowest polymorph   0.413 eV per atom

Unit cell a=3.8664 b=3.8664 c=13.6596 alpha=90.00 beta=90.00 gamma=90.00
With the nearest neighbours (Å) after each atom.
Space group I4/mmm (No. 139)
Unique sites:
Nb  0.0000  0.0000  0.0000 x2  8 Os 2.98
Tl  0.0000  0.5000  0.2500 x4  4 Tl 2.73, 4 Os 2.94
Os  0.0000  0.0000  0.4125 x4  1 Os 2.39


[6]
A geometry-optimized Zr2UB2Ru5 structure, computed with PBE.

## Properties
D(E_F)   0.619 states/eV per atom
Energy of formation from the pure elements   -0.5361 eV/atom

Unit cell a=9.5362 b=9.5362 c=3.2275 alpha=90.00 beta=90.00 gamma=90.00
With the nearest neighbours (Å) after each atom.
Space group P4/mbm (No. 127)
Unique sites:
Zr  0.1708  0.3292  0.0000 x4  3 B 2.80-2.83, 10 Ru 2.81-3.02
U  0.0000  0.0000  0.0000 x2  8 Ru 2.73
B  0.1218  0.6218  0.0000 x4  6 Ru 2.26-2.30
Ru  0.0000  0.5000  0.5000 x2  4 B 2.30
Ru  0.0727  0.7806  0.5000 x8  2 B 2.26


[7]
A geometry-optimized LiY2ErS5 structure, computed with PBE.

## Properties
Energy relative to the elements, uncorrected   -1.88 eV per atom

Unit cell a=3.8871 b=16.1549 c=11.7744 alpha=90.00 beta=90.00 gamma=90.00
With the nearest neighbours (Å) after each atom.
Space group Cmc2_1 (No. 36)
Unique sites:
Li  0.0000  0.0133  0.0000 x4  4 S 2.29-2.44
Y  0.0000  0.3756  0.8116 x4  8 S 2.80-3.13
Y  0.0000  0.3928  0.2026 x4  8 S 2.80-3.03
Er  0.0000  0.3029  0.5201 x4  6 S 2.58-2.73
S  0.0000  0.0001  0.3030 x4  1 Li 2.33
S  0.0000  0.1370  0.5196 x4  1 Li 2.44, 1 Er 2.68
S  0.0000  0.1927  0.8609 x4  2 Er 2.70, 1 Y 3.01
S  0.0000  0.2142  0.1809 x4  2 Er 2.73, 3 Y 2.87-2.90
S  0.0000  0.4536  0.5925 x4  2 Li 2.29


[8]
A geometry-optimized Pr5DyIn6 structure, computed with PBE.

## Properties
D(E_F)   0.503 states/eV per atom
Energy of formation from the pure elements   -0.4878 eV/atom

Unit cell a=18.1883 b=5.4887 c=7.7444 alpha=90.00 beta=115.15 gamma=90.00
With the nearest neighbours (Å) after each atom.
Space group C2/m (No. 12)
Unique sites:
Pr  0.0000  0.0000  0.0000 x2  8 In 3.34-3.42
Pr  0.1641  0.5000  0.1641 x4  8 In 3.39-3.41
Pr  0.1721  0.5000  0.6721 x4  8 In 3.33-3.37
Dy  0.0000  0.0000  0.5000 x2  8 In 3.28-3.30
In  0.0000  0.5000  0.2643 x4  2 Dy 3.30, 6 Pr 3.37-3.42, 1 In 3.65
In  0.1631  0.0000  0.4206 x4  1 Dy 3.28, 7 Pr 3.33-3.41
In  0.1631  0.0000  0.9056 x4  1 Dy 3.28, 7 Pr 3.33-3.41


[9]
A geometry-optimized EuDyCdPb structure, computed with PBE.

## Properties
D(E_F)   0.733 states/eV per atom
Energy of formation from the pure elements   -0.4102 eV/atom

Unit cell a=7.7297 b=7.7297 c=7.7297 alpha=90.00 beta=90.00 gamma=90.00
With the nearest neighbours (Å) after each atom.
Space group F-43m (No. 216)
Unique sites:
Eu  0.0000  0.0000  0.0000 x4  4 Pb 3.35, 4 Cd 3.35
Dy  0.0000  0.0000  0.5000 x4  4 Cd 3.35, 4 Pb 3.35
Cd  0.2500  0.2500  0.7500 x4  4 Dy 3.35, 4 Eu 3.35
Pb  0.2500  0.2500  0.2500 x4  4 Dy 3.35, 4 Eu 3.35


[10]
A geometry-optimized CaGa2Au6 structure, computed with PBE.

## Properties
D(E_F)   0.387 states/eV per atom
Energy of formation from the pure elements   -0.2971 eV/atom
E above lowest polymorph   0.018 eV per atom

Unit cell a=5.7133 b=5.7133 c=7.0576 alpha=90.00 beta=90.00 gamma=120.00
With the nearest neighbours (Å) after each atom.
Space group P6/mmm (No. 191)
Unique sites:
Ca  0.0000  0.0000  0.0000 x1  12 Au 3.20
Ga  0.3333  0.6667  0.5000 x2  6 Au 2.66
Au  0.0000  0.5000  0.2039 x6  2 Ga 2.66, 5 Au 2.86-2.88


[11]
A geometry-optimized Hf5Ga5Mo structure, computed with PBE.

## Properties
D(E_F)   0.738 states/eV per atom
Energy of formation from the pure elements   -0.1356 eV/atom

Unit cell a=4.6617 b=14.4318 c=6.2915 alpha=90.00 beta=90.00 gamma=90.00
With the nearest neighbours (Å) after each atom.
Space group Cmmm (No. 65)
Unique sites:
Hf  0.0000  0.0000  0.0000 x2  2 Ga 2.76
Hf  0.0000  0.3607  0.2362 x8  4 Ga 2.61-2.86
Ga  0.0000  0.1887  0.5000 x4  1 Mo 2.72, 2 Ga 2.93, 6 Hf 2.95-2.99
Ga  0.0000  0.1913  0.0000 x4  7 Hf 2.76-2.86, 2 Ga 2.88
Ga  0.0000  0.5000  0.5000 x2  2 Mo 2.33, 4 Hf 2.61
Mo  0.0000  0.0000  0.5000 x2  2 Ga 2.33


[12]
A geometry-optimized SrMnPb structure, computed with PBE.

## Properties
D(E_F)   0.824 states/eV per atom
Energy of formation from the pure elements   0.0163 eV/atom

Unit cell a=4.8646 b=4.8646 c=4.3357 alpha=90.00 beta=90.00 gamma=120.00
With the nearest neighbours (Å) after each atom.
Space group P-6m2 (No. 187)
Unique sites:
Sr  0.0000  0.0000  0.0000 x1  6 Mn 3.55, 6 Pb 3.55
Mn  0.6667  0.3333  0.5000 x1  3 Pb 2.81
Pb  0.3333  0.6667  0.5000 x1  3 Mn 2.81